Entry 1:
The following is a DFT calculation (GGA-PBE) of crystalline La5NdEr4 at its relaxed geometry.

The space group is P4/mmm (No. 123) and the conventional cell measures 3.700, 3.700 and 25.054 Å, with angles of 90.00, 90.00 and 90.00 degrees. Symmetry generates all atoms from La at (0.000, 0.000, 0.000), La at (0.000, 0.000, 0.197), La at (0.000, 0.000, 0.396), Nd at (0.500, 0.500, 0.500), Er at (0.500, 0.500, 0.099) and Er at (0.500, 0.500, 0.296).

The value obtained for the spin magnetization is 0.00 Bohr magnetons per cell. The value obtained for the calculated formation energy is 24 kJ/mol of formula units. The density of states at the Fermi level is 16.24 states/eV/cell.



Entry 2:
The following is a DFT calculation (GGA-PBE) of crystalline La2Nd8Er3 at its relaxed geometry.

The space group is C2/m (No. 12) and the conventional cell measures 17.758, 8.555 and 6.284 Å, with angles of 90.00, 107.87 and 90.00 degrees. Symmetry generates all atoms from La at (0.171, 0.000, 0.218), Nd at (0.028, 0.000, 0.754), Nd at (0.156, 0.273, 0.588), Nd at (0.190, 0.500, 0.111), Er at (0.000, 0.317, 0.000) and Er at (0.000, 0.500, 0.500).

The value obtained for the spin magnetization is 0.00 Bohr magnetons per cell. The value obtained for the calculated formation energy is 221 kJ/mol of formula units. The density of states at the Fermi level is 40.18 states/eV/cell.



Entry 3:
The following is a DFT calculation (GGA-PBE) of crystalline La2Nd2Er15 at its relaxed geometry.

The space group is R-3m (No. 166, hexagonal axes) and the conventional cell measures 11.3562, 11.3562 and 17.2218 Å, with angles of 90.00, 90.00 and 120.00 degrees. Symmetry generates all atoms from La at (0.0000, 0.0000, 0.1588), Nd at (0.0000, 0.0000, 0.3778), Er at (0.0000, 0.3038, 0.5000), Er at (0.0000, 0.5000, 0.0000) and Er at (0.0100, 0.5050, 0.6447).

The value obtained for the spin magnetization is 0.00 Bohr magnetons per cell. The value obtained for the calculated formation energy is 494 kJ/mol of formula units. The density of states at the Fermi level is 114.89 states/eV/cell.